1.
Computed, not measured: a relaxed structure of Li5CdGa2 at the GGA-PBE level of DFT.

Unit cell a=5.5479 b=5.5563 c=5.5605 alpha=108.31 beta=109.08 gamma=110.92
Sites, in units of the cell vectors:
Li 0.0000 0.0000 0.0000
Li 0.0000 0.0000 0.5000
Li 0.0000 0.5000 0.0000
Li 0.5000 0.0000 0.0000
Li 0.5000 0.5000 0.5000
Cd 0.0000 0.5000 0.5000
Ga 0.5000 0.0000 0.5000
Ga 0.5000 0.5000 0.0000

## Properties
The formation energy is -224 meV per atom. The polymorph energy (0 for the lowest one) comes out at 15 meV/atom.



2.
Computed, not measured: a relaxed structure of Li3Cd6Ga2 at the GGA-PBE level of DFT.

Unit cell a=13.9407 b=13.9407 c=13.9407 alpha=162.53 beta=162.53 gamma=24.80
Sites, in units of the cell vectors:
Li 0.0000 0.0000 0.0000
Li 0.1537 0.1537 0.0000
Li 0.8463 0.8463 0.0000
Cd 0.0650 0.5650 0.5000
Cd 0.2643 0.2643 0.0000
Cd 0.4350 0.9350 0.5000
Cd 0.5650 0.0650 0.5000
Cd 0.7357 0.7357 0.0000
Cd 0.9350 0.4350 0.5000
Ga 0.3633 0.3633 0.0000
Ga 0.6367 0.6367 0.0000

## Properties
The formation energy is -20 meV per atom. The polymorph energy (0 for the lowest one) comes out at 101 meV/atom.



3.
Computed, not measured: a relaxed structure of Li12Cd5Ga2 at the GGA-PBE level of DFT.

Unit cell a=7.4660 b=7.4660 c=7.1247 alpha=91.42 beta=91.42 gamma=59.48
Sites, in units of the cell vectors:
Li 0.0535 0.0535 0.3290
Li 0.0702 0.6699 0.3119
Li 0.1644 0.5410 0.7571
Li 0.3301 0.9298 0.6881
Li 0.4237 0.4237 0.1162
Li 0.4590 0.8356 0.2429
Li 0.5410 0.1644 0.7571
Li 0.5763 0.5763 0.8838
Li 0.6699 0.0702 0.3119
Li 0.8356 0.4590 0.2429
Li 0.9298 0.3301 0.6881
Li 0.9465 0.9465 0.6710
Cd 0.2137 0.2137 0.0170
Cd 0.2609 0.2609 0.4454
Cd 0.5000 0.5000 0.5000
Cd 0.7391 0.7391 0.5546
Cd 0.7863 0.7863 0.9830
Ga 0.1725 0.8275 0.0000
Ga 0.8275 0.1725 0.0000

## Properties
The formation energy is -187 meV per atom.



Q: What is the formula in the first record?
A: Li5CdGa2



What did the second record say?
Computed, not measured: a relaxed structure of Li3Cd6Ga2 at the GGA-PBE level of DFT.

Unit cell a=13.9407 b=13.9407 c=13.9407 alpha=162.53 beta=162.53 gamma=24.80
Sites, in units of the cell vectors:
Li 0.0000 0.0000 0.0000
Li 0.1537 0.1537 0.0000
Li 0.8463 0.8463 0.0000
Cd 0.0650 0.5650 0.5000
Cd 0.2643 0.2643 0.0000
Cd 0.4350 0.9350 0.5000
Cd 0.5650 0.0650 0.5000
Cd 0.7357 0.7357 0.0000
Cd 0.9350 0.4350 0.5000
Ga 0.3633 0.3633 0.0000
Ga 0.6367 0.6367 0.0000

## Properties
The formation energy is -20 meV per atom. The polymorph energy (0 for the lowest one) comes out at 101 meV/atom.